1.
The following is a PBE calculation of a relaxed Ce4PuAs5 crystal, from Alexandria.

Cell: 7.2800 7.2800 7.2800 Å, 99.60 99.60 131.81°
Element x y z (fractional)
Ce: 0.0993 0.7003 0.7997
Ce: 0.2997 0.0993 0.3990
Ce: 0.7003 0.9007 0.6010
Ce: 0.9007 0.2997 0.2003
Pu: 0.5000 0.5000 0.0000
As: 0.0000 0.0000 0.0000
As: 0.2016 0.4005 0.6021
As: 0.4005 0.7984 0.1990
As: 0.5995 0.2016 0.8010
As: 0.7984 0.5995 0.3979

Computed properties:
**Space group**: I4/m, No. 87
**Calculated formation energy**: -1.34 eV per atom

---

2.
The following is a PBE calculation of a relaxed Y3Sn3Ru crystal, from Alexandria.

Cell: 6.0113 6.0113 15.0596 Å, 107.33 107.33 43.37°
Element x y z (fractional)
Y: 0.0195 0.0195 0.3812
Y: 0.1010 0.1010 0.9228
Y: 0.2348 0.2348 0.2415
Y: 0.7652 0.7652 0.7585
Y: 0.8990 0.8990 0.0772
Y: 0.9805 0.9805 0.6188
Sn: 0.3514 0.3514 0.4645
Sn: 0.3750 0.3750 0.9232
Sn: 0.4805 0.4805 0.7662
Sn: 0.5195 0.5195 0.2338
Sn: 0.6250 0.6250 0.0768
Sn: 0.6486 0.6486 0.5355
Ru: 0.2606 0.2606 0.6174
Ru: 0.7394 0.7394 0.3826

Computed properties:
**Space group**: C2/m, No. 12
**Calculated formation energy**: -0.67 eV per atom

---

Copy entry 2 word for word.
The following is a PBE calculation of a relaxed Y3Sn3Ru crystal, from Alexandria.

Cell: 6.0113 6.0113 15.0596 Å, 107.33 107.33 43.37°
Element x y z (fractional)
Y: 0.0195 0.0195 0.3812
Y: 0.1010 0.1010 0.9228
Y: 0.2348 0.2348 0.2415
Y: 0.7652 0.7652 0.7585
Y: 0.8990 0.8990 0.0772
Y: 0.9805 0.9805 0.6188
Sn: 0.3514 0.3514 0.4645
Sn: 0.3750 0.3750 0.9232
Sn: 0.4805 0.4805 0.7662
Sn: 0.5195 0.5195 0.2338
Sn: 0.6250 0.6250 0.0768
Sn: 0.6486 0.6486 0.5355
Ru: 0.2606 0.2606 0.6174
Ru: 0.7394 0.7394 0.3826

Computed properties:
**Space group**: C2/m, No. 12
**Calculated formation energy**: -0.67 eV per atom

---

Repeat the second record exactly.
The following is a PBE calculation of a relaxed Y3Sn3Ru crystal, from Alexandria.

Cell: 6.0113 6.0113 15.0596 Å, 107.33 107.33 43.37°
Element x y z (fractional)
Y: 0.0195 0.0195 0.3812
Y: 0.1010 0.1010 0.9228
Y: 0.2348 0.2348 0.2415
Y: 0.7652 0.7652 0.7585
Y: 0.8990 0.8990 0.0772
Y: 0.9805 0.9805 0.6188
Sn: 0.3514 0.3514 0.4645
Sn: 0.3750 0.3750 0.9232
Sn: 0.4805 0.4805 0.7662
Sn: 0.5195 0.5195 0.2338
Sn: 0.6250 0.6250 0.0768
Sn: 0.6486 0.6486 0.5355
Ru: 0.2606 0.2606 0.6174
Ru: 0.7394 0.7394 0.3826

Computed properties:
**Space group**: C2/m, No. 12
**Calculated formation energy**: -0.67 eV per atom